# UAsPd | the Alexandria database | PBE | relaxed
data_UAsPd
_chemical_formula_sum 'U2 As2 Pd2'
_symmetry_space_group_name_H-M 'I 4 m m'
_symmetry_Int_Tables_number 107
_symmetry_space_group_name_Hall 'I 4 -2'
_cell_length_a 3.6970
_cell_length_b 3.6970
_cell_length_c 8.8160
_cell_angle_alpha 90.00
_cell_angle_beta 90.00
_cell_angle_gamma 90.00
loop_
_atom_site_label
_atom_site_type_symbol
_atom_site_fract_x
_atom_site_fract_y
_atom_site_fract_z
U1 U 0.0000 0.0000 0.0000
As1 As 0.0000 0.0000 0.3450
Pd1 Pd 0.0000 0.0000 0.6654
# Total energy: -44.46 eV/cell
# Density of states at the Fermi level: 10.8 states/eV/cell
# Formation energy from the elements: -0.37 eV/atom

# U3As4Pd7 | the Alexandria database | PBE | relaxed
data_U3As4Pd7
_chemical_formula_sum 'U6 As8 Pd14'
_symmetry_space_group_name_H-M 'C 1 2/m 1'
_symmetry_Int_Tables_number 12
_cell_length_a 15.4921
_cell_length_b 4.1721
_cell_length_c 9.6936
_cell_angle_alpha 90.00
_cell_angle_beta 125.63
_cell_angle_gamma 90.00
loop_
_symmetry_equiv_pos_as_xyz
'x,y,z'
'-x,-y,-z'
'-x,y,-z'
'x,-y,z'
'x+1/2,y+1/2,z'
'-x+1/2,-y+1/2,-z'
'-x+1/2,y+1/2,-z'
'x+1/2,-y+1/2,z'
loop_
_atom_site_label
_atom_site_type_symbol
_atom_site_fract_x
_atom_site_fract_y
_atom_site_fract_z
U1 U 0.0000 0.0000 0.0000
U2 U 0.1867 0.5000 0.6835
As1 As 0.1043 0.0000 0.8226
As2 As 0.1519 0.5000 0.2376
Pd1 Pd 0.0000 0.0000 0.5000
Pd2 Pd 0.0172 0.5000 0.3129
Pd3 Pd 0.1688 0.0000 0.4403
Pd4 Pd 0.1881 0.5000 0.0125
# Total energy: -193.65 eV/cell
# Density of states at the Fermi level: 47.3 states/eV/cell
# Formation energy from the elements: -0.57 eV/atom

# UAs2Pd3 | the Alexandria database | PBE | relaxed
data_UAs2Pd3
_chemical_formula_sum 'U4 As8 Pd12'
_symmetry_space_group_name_H-M 'C 1 2/m 1'
_symmetry_Int_Tables_number 12
_cell_length_a 15.1361
_cell_length_b 4.3474
_cell_length_c 7.4905
_cell_angle_alpha 90.00
_cell_angle_beta 118.26
_cell_angle_gamma 90.00
loop_
_symmetry_equiv_pos_as_xyz
'x,y,z'
'-x,-y,-z'
'-x,y,-z'
'x,-y,z'
'x+1/2,y+1/2,z'
'-x+1/2,-y+1/2,-z'
'-x+1/2,y+1/2,-z'
'x+1/2,-y+1/2,z'
loop_
_atom_site_label
_atom_site_type_symbol
_atom_site_fract_x
_atom_site_fract_y
_atom_site_fract_z
U1 U 0.1427 0.0000 0.2188
As1 As 0.0002 0.5000 0.1780
As2 As 0.2061 0.0000 0.6475
Pd1 Pd 0.0630 0.0000 0.7491
Pd2 Pd 0.1106 0.5000 0.5550
Pd3 Pd 0.1891 0.5000 0.9773
# Total energy: -156.77 eV/cell
# Density of states at the Fermi level: 31.7 states/eV/cell
# Formation energy from the elements: -0.50 eV/atom
# Offset from the most stable computed form: 6 meV per atom

# UAsPd2 | the Alexandria database | PBE | relaxed
data_UAsPd2
_chemical_formula_sum 'U1 As1 Pd2'
_symmetry_space_group_name_H-M 'P 1 2/m 1'
_symmetry_Int_Tables_number 10
_cell_length_a 3.8366
_cell_length_b 4.7696
_cell_length_c 4.2482
_cell_angle_alpha 90.00
_cell_angle_beta 90.88
_cell_angle_gamma 90.00
loop_
_symmetry_equiv_pos_as_xyz
'x,y,z'
'-x,-y,-z'
'-x,y,-z'
'x,-y,z'
loop_
_atom_site_label
_atom_site_type_symbol
_atom_site_fract_x
_atom_site_fract_y
_atom_site_fract_z
U1 U 0.0000 0.0000 0.0000
As1 As 0.5000 0.0000 0.5000
Pd1 Pd 0.2626 0.5000 0.7447
# Total energy: -27.83 eV/cell
# Density of states at the Fermi level: 5.1 states/eV/cell
# Formation energy from the elements: -0.38 eV/atom

# UAs2Pd3 | the Alexandria database | PBE | relaxed
data_UAs2Pd3
_chemical_formula_sum 'U6 As12 Pd18'
_symmetry_space_group_name_H-M 'C 1 2/m 1'
_symmetry_Int_Tables_number 12
_cell_length_a 16.7816
_cell_length_b 4.0276
_cell_length_c 10.0952
_cell_angle_alpha 90.00
_cell_angle_beta 107.25
_cell_angle_gamma 90.00
loop_
_symmetry_equiv_pos_as_xyz
'x,y,z'
'-x,-y,-z'
'-x,y,-z'
'x,-y,z'
'x+1/2,y+1/2,z'
'-x+1/2,-y+1/2,-z'
'-x+1/2,y+1/2,-z'
'x+1/2,-y+1/2,z'
loop_
_atom_site_label
_atom_site_type_symbol
_atom_site_fract_x
_atom_site_fract_y
_atom_site_fract_z
U1 U 0.0000 0.0000 0.0000
U2 U 0.1565 0.0000 0.7046
As1 As 0.0432 0.5000 0.8032
As2 As 0.1367 0.5000 0.4668
As3 As 0.1997 0.0000 0.1386
Pd1 Pd 0.0000 0.5000 0.5000
Pd2 Pd 0.0358 0.0000 0.3294
Pd3 Pd 0.1242 0.5000 0.2104
Pd4 Pd 0.1835 0.5000 0.9761
Pd5 Pd 0.2155 0.0000 0.3983
# Total energy: -235.36 eV/cell
# Density of states at the Fermi level: 50.4 states/eV/cell
# Formation energy from the elements: -0.51 eV/atom
# Offset from the most stable computed form: 0 meV per atom

# UAs2Pd5 | the Alexandria database | PBE | relaxed
data_UAs2Pd5
_chemical_formula_sum 'U2 As4 Pd10'
_symmetry_space_group_name_H-M 'I m m m'
_symmetry_Int_Tables_number 71
_symmetry_space_group_name_Hall '-I 2 2'
_cell_length_a 4.0680
_cell_length_b 7.3447
_cell_length_c 9.4562
_cell_angle_alpha 90.00
_cell_angle_beta 90.00
_cell_angle_gamma 90.00
loop_
_atom_site_label
_atom_site_type_symbol
_atom_site_fract_x
_atom_site_fract_y
_atom_site_fract_z
U1 U 0.0000 0.0000 0.0000
As1 As 0.0000 0.5000 0.2606
Pd1 Pd 0.0000 0.1923 0.3516
Pd2 Pd 0.0000 0.5000 0.0000
# Total energy: -99.50 eV/cell
# Density of states at the Fermi level: 19.3 states/eV/cell
# Formation energy from the elements: -0.40 eV/atom

# UAs2Pd6 | the Alexandria database | PBE | relaxed
data_UAs2Pd6
_chemical_formula_sum 'U2 As4 Pd12'
_symmetry_space_group_name_H-M 'I m m m'
_symmetry_Int_Tables_number 71
_symmetry_space_group_name_Hall '-I 2 2'
_cell_length_a 4.5284
_cell_length_b 7.7552
_cell_length_c 8.9008
_cell_angle_alpha 90.00
_cell_angle_beta 90.00
_cell_angle_gamma 90.00
loop_
_atom_site_label
_atom_site_type_symbol
_atom_site_fract_x
_atom_site_fract_y
_atom_site_fract_z
U1 U 0.0000 0.0000 0.0000
As1 As 0.0000 0.0000 0.3251
Pd1 Pd 0.0000 0.2672 0.5000
Pd2 Pd 0.0000 0.3194 0.1768
# Total energy: -109.33 eV/cell
# Density of states at the Fermi level: 19.7 states/eV/cell
# Formation energy from the elements: -0.32 eV/atom

# U2As3Pd | the Alexandria database | PBE | relaxed
data_U2As3Pd
_chemical_formula_sum 'U8 As12 Pd4'
_symmetry_space_group_name_H-M 'C m c m'
_symmetry_Int_Tables_number 63
_symmetry_space_group_name_Hall '-C 2c 2'
_cell_length_a 11.7383
_cell_length_b 8.0027
_cell_length_c 5.2856
_cell_angle_alpha 90.00
_cell_angle_beta 90.00
_cell_angle_gamma 90.00
loop_
_atom_site_label
_atom_site_type_symbol
_atom_site_fract_x
_atom_site_fract_y
_atom_site_fract_z
U1 U 0.1052 0.1949 0.2500
As1 As 0.0000 0.1326 0.7500
As2 As 0.2068 0.5000 0.0000
Pd1 Pd 0.0000 0.4452 0.7500
# Total energy: -178.41 eV/cell
# Density of states at the Fermi level: 32.2 states/eV/cell
# Formation energy from the elements: -0.48 eV/atom

# UAsPd | the Alexandria database | PBE | relaxed
data_UAsPd
_chemical_formula_sum 'U4 As4 Pd4'
_symmetry_space_group_name_H-M 'C m c m'
_symmetry_Int_Tables_number 63
_symmetry_space_group_name_Hall '-C 2c 2'
_cell_length_a 3.9502
_cell_length_b 12.8425
_cell_length_c 4.2846
_cell_angle_alpha 90.00
_cell_angle_beta 90.00
_cell_angle_gamma 90.00
loop_
_atom_site_label
_atom_site_type_symbol
_atom_site_fract_x
_atom_site_fract_y
_atom_site_fract_z
U1 U 0.0000 0.0545 0.2500
As1 As 0.0000 0.3816 0.2500
Pd1 Pd 0.0000 0.2622 0.7500
# Total energy: -91.05 eV/cell
# Density of states at the Fermi level: 15.6 states/eV/cell
# Formation energy from the elements: -0.54 eV/atom

# U2AsPd7 | the Alexandria database | PBE | relaxed
data_U2AsPd7
_chemical_formula_sum 'U4 As2 Pd14'
_symmetry_space_group_name_H-M 'C m m m'
_symmetry_Int_Tables_number 65
_symmetry_space_group_name_Hall '-C 2 2'
_cell_length_a 7.6084
_cell_length_b 17.2472
_cell_length_c 2.9601
_cell_angle_alpha 90.00
_cell_angle_beta 90.00
_cell_angle_gamma 90.00
loop_
_atom_site_label
_atom_site_type_symbol
_atom_site_fract_x
_atom_site_fract_y
_atom_site_fract_z
U1 U 0.0000 0.1672 0.0000
As1 As 0.0000 0.5000 0.5000
Pd1 Pd 0.0000 0.0000 0.0000
Pd2 Pd 0.0000 0.3009 0.5000
Pd3 Pd 0.1974 0.4101 0.0000
# Total energy: -126.59 eV/cell
# Density of states at the Fermi level: 22.6 states/eV/cell
# Formation energy from the elements: 0.03 eV/atom

# UAsPd6 | the Alexandria database | PBE | relaxed
data_UAsPd6
_chemical_formula_sum 'U2 As2 Pd12'
_symmetry_space_group_name_H-M 'C 1 2/m 1'
_symmetry_Int_Tables_number 12
_cell_length_a 6.4131
_cell_length_b 9.1652
_cell_length_c 5.6185
_cell_angle_alpha 90.00
_cell_angle_beta 124.12
_cell_angle_gamma 90.00
loop_
_symmetry_equiv_pos_as_xyz
'x,y,z'
'-x,-y,-z'
'-x,y,-z'
'x,-y,z'
'x+1/2,y+1/2,z'
'-x+1/2,-y+1/2,-z'
'-x+1/2,y+1/2,-z'
'x+1/2,-y+1/2,z'
loop_
_atom_site_label
_atom_site_type_symbol
_atom_site_fract_x
_atom_site_fract_y
_atom_site_fract_z
U1 U 0.0000 0.0000 0.0000
As1 As 0.0000 0.5000 0.5000
Pd1 Pd 0.0046 0.2528 0.7513
Pd2 Pd 0.2485 0.0000 0.7435
# Total energy: -99.01 eV/cell
# Density of states at the Fermi level: 16.3 states/eV/cell
# Formation energy from the elements: -0.30 eV/atom

# U4As6Pd5 | the Alexandria database | PBE | relaxed
data_U4As6Pd5
_chemical_formula_sum 'U16 As24 Pd20'
_symmetry_space_group_name_H-M 'C m c 21'
_symmetry_Int_Tables_number 36
_cell_length_a 4.0823
_cell_length_b 19.5496
_cell_length_c 14.8242
_cell_angle_alpha 90.00
_cell_angle_beta 90.00
_cell_angle_gamma 90.00
loop_
_symmetry_equiv_pos_as_xyz
'x,y,z'
'-x,-y,z+1/2'
'-x,y,z'
'x,-y,z+1/2'
'x+1/2,y+1/2,z'
'-x+1/2,-y+1/2,z+1/2'
'-x+1/2,y+1/2,z'
'x+1/2,-y+1/2,z+1/2'
loop_
_atom_site_label
_atom_site_type_symbol
_atom_site_fract_x
_atom_site_fract_y
_atom_site_fract_z
U1 U 0.0000 0.0128 0.0000
U2 U 0.0000 0.0341 0.2772
U3 U 0.0000 0.1658 0.8039
U4 U 0.0000 0.1821 0.4459
As1 As 0.0000 0.1155 0.6164
As2 As 0.0000 0.2233 0.9875
As3 As 0.0000 0.2341 0.2671
As4 As 0.0000 0.4174 0.9233
As5 As 0.0000 0.4339 0.6274
As6 As 0.0000 0.4346 0.3566
Pd1 Pd 0.0000 0.1489 0.1334
Pd2 Pd 0.0000 0.3033 0.1232
Pd3 Pd 0.0000 0.3487 0.7772
Pd4 Pd 0.0000 0.3525 0.4844
Pd5 Pd 0.0000 0.4439 0.1835
# Total energy: -431.45 eV/cell
# Density of states at the Fermi level: 106.3 states/eV/cell
# Formation energy from the elements: -0.59 eV/atom